Density functional theory data (GGA-PBE) for crystalline YHg2Br at its relaxed geometry.

```
4
Lattice="-2.116 2.116 5.736 2.116 -2.116 5.736 2.116 2.116 -5.736" Properties=species:S:1:pos:R:3 pbc="T T T"
Y 0.000 0.000 0.000
Hg 2.116 0.000 2.868
Hg 0.000 2.116 2.868
Br 0.000 0.000 5.736
```

Computed properties:
**Space-group type**: I4/mmm
**Offset from the most stable computed form**: 0.121 eV per atom
**Formation energy without anion corrections**: -0.470 eV/atom
**D(E_F)**: 3.269 states/eV per cell